# SbH4Pd7, relaxed, DFT GGA-PBE
# * V: 312.5 Å³ per cell
data_SbH4Pd7
_cell_length_a 10.300
_cell_length_b 5.418
_cell_length_c 7.319
_cell_angle_alpha 90.00
_cell_angle_beta 130.09
_cell_angle_gamma 90.00
_space_group_name_H-M_alt 'C 1 2/m 1'
_space_group_IT_number 12
_space_group_name_Hall '-C 2y'
loop_
_atom_site_label
_atom_site_type_symbol
_atom_site_fract_x
_atom_site_fract_y
_atom_site_fract_z
_atom_site_occupancy
Sb1 Sb 0.000 0.000 0.000 1
H1 H 0.083 0.500 0.481 1
H2 H 0.220 0.500 0.238 1
Pd1 Pd 0.000 0.500 0.000 1
Pd2 Pd 0.109 0.000 0.749 1
Pd3 Pd 0.136 0.500 0.765 1
Pd4 Pd 0.233 0.000 0.483 1


# Sc2SbHPd, relaxed, DFT GGA-PBE
# * V: 82.1 Å³ per cell
data_Sc2SbHPd
_cell_length_a 4.528
_cell_length_b 4.528
_cell_length_c 4.006
_cell_angle_alpha 90.00
_cell_angle_beta 90.00
_cell_angle_gamma 90.00
_space_group_name_H-M_alt 'P 4/m m m'
_space_group_IT_number 123
_space_group_name_Hall '-P 4 2'
loop_
_atom_site_label
_atom_site_type_symbol
_atom_site_fract_x
_atom_site_fract_y
_atom_site_fract_z
_atom_site_occupancy
Sc1 Sc 0.000 0.500 0.000 1
Sb1 Sb 0.000 0.000 0.500 1
H1 H 0.500 0.500 0.000 1
Pd1 Pd 0.500 0.500 0.500 1


# ScSb2H2Pd7, relaxed, DFT GGA-PBE
# * V: 358.9 Å³ per cell
data_ScSb2H2Pd7
_cell_length_a 5.684
_cell_length_b 5.681
_cell_length_c 11.470
_cell_angle_alpha 90.00
_cell_angle_beta 104.26
_cell_angle_gamma 90.00
_space_group_name_H-M_alt 'C 1 2/m 1'
_space_group_IT_number 12
_space_group_name_Hall '-C 2y'
loop_
_atom_site_label
_atom_site_type_symbol
_atom_site_fract_x
_atom_site_fract_y
_atom_site_fract_z
_atom_site_occupancy
Sc1 Sc 0.000 0.000 0.000 1
Sb1 Sb 0.191 0.000 0.386 1
H1 H 0.085 0.500 0.173 1
Pd1 Pd 0.000 0.500 0.000 1
Pd2 Pd 0.159 0.250 0.817 1
Pd3 Pd 0.184 0.500 0.371 1


# Sm2SbHPd6, relaxed, DFT GGA-PBE
# * V: 181.8 Å³ per cell
data_Sm2SbHPd6
_cell_length_a 5.756
_cell_length_b 5.784
_cell_length_c 7.113
_cell_angle_alpha 66.26
_cell_angle_beta 66.15
_cell_angle_gamma 60.20
_space_group_name_H-M_alt 'P -1'
_space_group_IT_number 2
_space_group_name_Hall '-P 1'
loop_
_atom_site_label
_atom_site_type_symbol
_atom_site_fract_x
_atom_site_fract_y
_atom_site_fract_z
_atom_site_occupancy
Sm1 Sm 0.226 0.237 0.312 1
Sb1 Sb 0.500 0.500 0.500 1
H1 H 0.000 0.000 0.000 1
Pd1 Pd 0.226 0.714 0.832 1
Pd2 Pd 0.231 0.215 0.815 1
Pd3 Pd 0.263 0.785 0.183 1


What did we get for E_tot? Answer: -108.3, -28.9, -126.6, -54.7 eV/cell, in the order shown.
What did we get for D(E_F)? Answer: 4.1, 2.8, 2.9, 5.0 states/eV/f.u., in the order shown.
What did we get for size of the total moment? Answer: 0.0, 1.1, 0.0, 0.0 μB/cell, in the order shown.